VASP calculation (PBE) on a geometry-optimized Pr5NdMg4 structure.

Cell lengths 3.8614, 3.8614, 20.9684 Å; angles 90.00, 90.00, 90.00 degrees
With the nearest neighbours (Å) after each atom.
Sites, in units of the cell vectors:
Pr 0.0000 0.0000 0.0000  8 Mg 3.37
Pr 0.0000 0.0000 0.1886  8 Mg 3.37-3.38
Pr 0.0000 0.0000 0.3796  4 Mg 3.39, 4 Nd 3.72
Pr 0.0000 0.0000 0.6204  4 Mg 3.39, 4 Nd 3.72
Pr 0.0000 0.0000 0.8114  8 Mg 3.37-3.38
Nd 0.5000 0.5000 0.5000  8 Pr 3.72, 4 Nd 3.86
Mg 0.5000 0.5000 0.0946  8 Pr 3.37
Mg 0.5000 0.5000 0.2839  8 Pr 3.38-3.39
Mg 0.5000 0.5000 0.7161  8 Pr 3.38-3.39
Mg 0.5000 0.5000 0.9054  8 Pr 3.37

As for the formation energy: -83 meV per atom. For the density, the calculation gives 5.02 g/cm³.

VASP calculation (PBE) on a geometry-optimized TbErCoNi structure.

Cell lengths 4.7315, 4.7315, 4.7315 Å; angles 60.00, 60.00, 60.00 degrees
With the nearest neighbours (Å) after each atom.
Sites, in units of the cell vectors:
Tb 0.0000 0.0000 0.0000  4 Co 2.90, 4 Ni 2.90
Er 0.5000 0.5000 0.5000  4 Co 2.90, 4 Ni 2.90
Co 0.7500 0.7500 0.7500  4 Tb 2.90, 4 Er 2.90
Ni 0.2500 0.2500 0.2500  4 Tb 2.90, 4 Er 2.90

The energy above the most stable polymorph in this dataset comes out at 51 meV/atom. As for the formation energy: -272 meV per atom. For the density, the calculation gives 9.84 g/cm³.

VASP calculation (PBE) on a geometry-optimized AcPuTaN3 structure.

Cell lengths 7.7334, 3.5817, 8.0104 Å; angles 90.00, 98.01, 90.00 degrees
With the nearest neighbours (Å) after each atom.
Sites, in units of the cell vectors:
Ac 0.1700 0.2500 0.1734  5 N 2.62-2.81
Ac 0.8300 0.7500 0.8266  5 N 2.62-2.81
Pu 0.3756 0.7500 0.8402  3 N 2.20-2.37
Pu 0.6244 0.2500 0.1598  3 N 2.20-2.37
Ta 0.1130 0.2500 0.5963  4 N 1.98-2.19
Ta 0.8870 0.7500 0.4037  4 N 1.98-2.19
N 0.1126 0.2500 0.8439  1 Ta 1.98
N 0.1693 0.7500 0.4852  3 Ta 2.07-2.19
N 0.4229 0.7500 0.1181  3 Pu 2.20-2.37
N 0.5771 0.2500 0.8819  3 Pu 2.20-2.37
N 0.8307 0.2500 0.5148  3 Ta 2.07-2.19
N 0.8874 0.7500 0.1561  1 Ta 1.98

The formation energy without anion corrections is -0.924 eV per atom. For the density, the calculation gives 10.49 g/cm³.

VASP calculation (PBE) on a geometry-optimized Ac14SmMg structure.

Cell lengths 11.1665, 7.8474, 7.8474 Å; angles 90.00, 90.00, 90.00 degrees
With the nearest neighbours (Å) after each atom.
Sites, in units of the cell vectors:
Ac 0.0000 0.0000 0.0000  12 Ac 3.92-3.99
Ac 0.0000 0.0003 0.4991  12 Ac 3.92-3.99
Ac 0.0000 0.4991 0.0003  12 Ac 3.92-3.99
Ac 0.0000 0.4997 0.4997  12 Ac 3.92-3.99
Ac 0.2564 0.2499 0.7495  10 Ac 3.88-3.99, 1 Mg 3.88, 1 Sm 3.89
Ac 0.2564 0.7495 0.2499  10 Ac 3.88-3.99, 1 Mg 3.88, 1 Sm 3.89
Ac 0.2555 0.7498 0.7498  10 Ac 3.88-3.98, 1 Sm 3.89, 1 Mg 3.89
Ac 0.2573 0.2498 0.2498  1 Mg 3.88, 1 Sm 3.88, 10 Ac 3.89-3.99
Ac 0.5000 0.5005 0.9983  8 Ac 3.88-3.89, 2 Mg 3.91-3.94, 2 Sm 3.92-3.93
Ac 0.5000 0.9983 0.5005  8 Ac 3.88-3.89, 2 Mg 3.91-3.94, 2 Sm 3.92-3.93
Ac 0.7427 0.2498 0.2498  1 Mg 3.88, 1 Sm 3.88, 10 Ac 3.89-3.99
Ac 0.7436 0.2499 0.7495  10 Ac 3.88-3.99, 1 Mg 3.88, 1 Sm 3.89
Ac 0.7436 0.7495 0.2499  10 Ac 3.88-3.99, 1 Mg 3.88, 1 Sm 3.89
Ac 0.7445 0.7498 0.7498  10 Ac 3.88-3.98, 1 Sm 3.89, 1 Mg 3.89
Sm 0.5000 0.9995 0.9995  12 Ac 3.88-3.93
Mg 0.5000 0.5000 0.5000  12 Ac 3.88-3.94

As for the formation energy: 16 meV per atom. For the density, the calculation gives 8.10 g/cm³.

VASP calculation (PBE) on a geometry-optimized K2AlCrSe4 structure.

Cell lengths 8.1403, 8.1403, 8.1403 Å; angles 120.67, 119.34, 90.00 degrees
With the nearest neighbours (Å) after each atom.
Sites, in units of the cell vectors:
K 0.0000 0.0000 0.0000  6 Se 3.13-3.14
K 0.5000 0.0000 0.0000  6 Se 3.12-3.13
K 0.5000 0.0000 0.5000  6 Se 3.13-3.14
K 0.5000 0.5000 0.5000  6 Se 3.12-3.13
Al 0.0000 0.0000 0.5000  6 Se 2.67
Al 0.0000 0.5000 0.0000  6 Se 2.67
Cr 0.0000 0.5000 0.5000  6 Se 2.66
Cr 0.5000 0.5000 0.0000  6 Se 2.66
Se 0.1904 0.7294 0.4610  1 Cr 2.66, 2 Al 2.67
Se 0.2299 0.2723 0.5425  2 Cr 2.66, 1 Al 2.67
Se 0.2299 0.6874 0.9575  2 Cr 2.66, 1 Al 2.67
Se 0.2316 0.2706 0.9610  1 Cr 2.66, 2 Al 2.67
Se 0.7684 0.7294 0.0390  1 Cr 2.66, 2 Al 2.67
Se 0.7701 0.3126 0.0425  2 Cr 2.66, 1 Al 2.67
Se 0.7701 0.7277 0.4575  2 Cr 2.66, 1 Al 2.67
Se 0.8096 0.2706 0.5390  1 Cr 2.66, 2 Al 2.67

The formation energy without anion corrections is -0.824 eV per atom. For the density, the calculation gives 4.12 g/cm³.

VASP calculation (PBE) on a geometry-optimized Ac12Ni6Au structure.

Cell lengths 9.1863, 9.1863, 9.1863 Å; angles 109.47, 109.47, 109.47 degrees
With the nearest neighbours (Å) after each atom.
Sites, in units of the cell vectors:
Ac 0.1271 0.8180 0.3092  3 Ni 2.92-3.07
Ac 0.1820 0.3092 0.4912  3 Ni 2.92-3.07
Ac 0.1820 0.6908 0.8729  3 Ni 2.92-3.07
Ac 0.3092 0.1271 0.8180  3 Ni 2.92-3.07
Ac 0.3092 0.4912 0.1820  3 Ni 2.92-3.07
Ac 0.4912 0.1820 0.3092  3 Ni 2.92-3.07
Ac 0.5088 0.8180 0.6908  3 Ni 2.92-3.07
Ac 0.6908 0.5088 0.8180  3 Ni 2.92-3.07
Ac 0.6908 0.8729 0.1820  3 Ni 2.92-3.07
Ac 0.8180 0.3092 0.1271  3 Ni 2.92-3.07
Ac 0.8180 0.6908 0.5088  3 Ni 2.92-3.07
Ac 0.8729 0.1820 0.6908  3 Ni 2.92-3.07
Ni 0.1195 0.6195 0.5000  1 Ni 2.54
Ni 0.3805 0.5000 0.8805  1 Ni 2.54
Ni 0.5000 0.1195 0.6195  1 Ni 2.54
Ni 0.5000 0.8805 0.3805  1 Ni 2.54
Ni 0.6195 0.5000 0.1195  1 Ni 2.54
Ni 0.8805 0.3805 0.5000  1 Ni 2.54
Au 0.0000 0.0000 0.0000  12 Ac 3.81

As for the formation energy: -239 meV per atom. For the density, the calculation gives 9.11 g/cm³.

VASP calculation (PBE) on a geometry-optimized NdPaRuPt structure.

Cell lengths 4.9619, 4.9619, 4.9619 Å; angles 60.00, 60.00, 60.00 degrees
With the nearest neighbours (Å) after each atom.
Sites, in units of the cell vectors:
Nd 0.0000 0.0000 0.0000  4 Ru 3.04, 4 Pt 3.04
Pa 0.5000 0.5000 0.5000  4 Ru 3.04, 4 Pt 3.04
Ru 0.2500 0.2500 0.2500  4 Pa 3.04, 4 Nd 3.04
Pt 0.7500 0.7500 0.7500  4 Pa 3.04, 4 Nd 3.04

As for the formation energy: -504 meV per atom. For the density, the calculation gives 12.91 g/cm³.

VASP calculation (PBE) on a geometry-optimized SbSeS4 structure.

Cell lengths 5.9549, 7.7232, 9.2635 Å; angles 77.84, 81.71, 78.81 degrees
With the nearest neighbours (Å) after each atom.
Sites, in units of the cell vectors:
Sb 0.0367 0.0102 0.2739  3 S 2.47-2.54
Sb 0.9633 0.9898 0.7261  3 S 2.47-2.54
Se 0.2559 0.3594 0.7811  2 S 2.19-2.23
Se 0.7441 0.6406 0.2189  2 S 2.19-2.23
S 0.0545 0.5059 0.1042  1 S 2.15, 1 Se 2.19
S 0.1147 0.7153 0.4413  1 S 2.10
S 0.2672 0.0642 0.8582  1 Se 2.23
S 0.2836 0.8487 0.5572  1 S 2.10
S 0.7164 0.1513 0.4428  1 S 2.10
S 0.7328 0.9358 0.1418  1 Se 2.23
S 0.8853 0.2847 0.5587  1 S 2.10
S 0.9455 0.4941 0.8958  1 S 2.15, 1 Se 2.19

The formation energy without anion corrections is -0.006 eV per atom. For the density, the calculation gives 2.69 g/cm³.

VASP calculation (PBE) on a geometry-optimized Sm5Zn2In structure.

Cell lengths 9.4381, 9.4381, 9.4381 Å; angles 132.00, 132.00, 70.23 degrees
With the nearest neighbours (Å) after each atom.
Sites, in units of the cell vectors:
Sm 0.0000 0.0000 0.0000  4 Zn 3.06
Sm 0.0189 0.5189 0.8327  3 Zn 3.19-3.25, 2 In 3.27
Sm 0.1863 0.0189 0.5000  3 Zn 3.19-3.25, 2 In 3.27
Sm 0.3137 0.8137 0.8327  3 Zn 3.19-3.25, 2 In 3.27
Sm 0.4811 0.3137 0.5000  3 Zn 3.19-3.25, 2 In 3.27
Sm 0.5000 0.5000 0.0000  4 Zn 3.06
Sm 0.5189 0.6863 0.5000  3 Zn 3.19-3.25, 2 In 3.27
Sm 0.6863 0.1863 0.1673  3 Zn 3.19-3.25, 2 In 3.27
Sm 0.8137 0.9811 0.5000  3 Zn 3.19-3.25, 2 In 3.27
Sm 0.9811 0.4811 0.1673  3 Zn 3.19-3.25, 2 In 3.27
Zn 0.1205 0.3795 0.5000  1 Zn 2.62
Zn 0.3795 0.8795 0.2591  1 Zn 2.62
Zn 0.6205 0.1205 0.7409  1 Zn 2.62
Zn 0.8795 0.6205 0.5000  1 Zn 2.62
In 0.2500 0.2500 0.0000  8 Sm 3.27
In 0.7500 0.7500 0.0000  8 Sm 3.27

As for the formation energy: -255 meV per atom. For the density, the calculation gives 7.28 g/cm³.

VASP calculation (PBE) on a geometry-optimized Cr3C4 structure.

Cell lengths 7.5640, 7.5640, 7.5640 Å; angles 158.09, 158.09, 31.18 degrees
With the nearest neighbours (Å) after each atom.
Sites, in units of the cell vectors:
Cr 0.0000 0.0000 0.0000  8 C 2.14
Cr 0.3163 0.3163 0.0000  6 C 1.99-2.09
Cr 0.6837 0.6837 0.0000  6 C 1.99-2.09
C 0.1730 0.1730 0.0000  5 Cr 2.04-2.09
C 0.4531 0.4531 0.0000  1 C 1.37
C 0.5469 0.5469 0.0000  1 C 1.37
C 0.8270 0.8270 0.0000  5 Cr 2.04-2.09

The energy above the most stable polymorph in this dataset comes out at 0 meV/atom. As for the formation energy: 612 meV per atom. For the density, the calculation gives 5.63 g/cm³.

VASP calculation (PBE) on a geometry-optimized NaH5O2 structure.

Cell lengths 5.8191, 5.8191, 5.8191 Å; angles 133.33, 105.68, 92.50 degrees
With the nearest neighbours (Å) after each atom.
Sites, in units of the cell vectors:
Na 0.0000 0.0000 0.0000  8 H 3.00, 4 O 3.26
H 0.1446 0.3978 0.7468  1 O 1.00
H 0.3490 0.6022 0.7468  1 O 1.00
H 0.5000 0.5000 0.0000  2 O 1.21
H 0.6510 0.3978 0.2532  1 O 1.00
H 0.8554 0.6022 0.2532  1 O 1.00
O 0.3282 0.5000 0.8282  2 H 1.00
O 0.6718 0.5000 0.1718  2 H 1.00

The uncorrected energy is -3.908 eV/atom. For the density, the calculation gives 0.76 g/cm³.

VASP calculation (PBE) on a geometry-optimized Pd2RhI6 structure.

Cell lengths 11.7288, 11.7288, 7.1278 Å; angles 105.50, 105.50, 19.55 degrees
With the nearest neighbours (Å) after each atom.
Sites, in units of the cell vectors:
Pd 0.1524 0.1524 0.0236  4 I 2.66
Pd 0.8476 0.8476 0.9764  4 I 2.66
Rh 0.5000 0.5000 0.5000  6 I 2.70-2.75
I 0.0433 0.0433 0.3212  2 Rh 2.70
I 0.2937 0.2937 0.7470  2 Pd 2.66
I 0.3912 0.3912 0.2201  2 Pd 2.66, 1 Rh 2.75
I 0.6088 0.6088 0.7799  2 Pd 2.66, 1 Rh 2.75
I 0.7063 0.7063 0.2530  2 Pd 2.66
I 0.9567 0.9567 0.6788  2 Rh 2.70

The formation energy without anion corrections is -0.182 eV per atom. For the density, the calculation gives 5.66 g/cm³.